# 1
VASP calculation (GGA-PBEsol) on crystalline Li2Mg2Pd at its relaxed geometry.

Structure (POSCAR):
```
Li2Mg2Pd
1.0
4.1615 0.0000 0.0000
0.0000 6.3207 0.0000
0.0000 0.0000 6.3207
Li Pd Mg
4 2 4
direct
0.0000 0.6314 0.1314
0.0000 0.1314 0.3686
0.0000 0.8686 0.6314
0.0000 0.3686 0.8686
0.0000 0.0000 0.0000
0.0000 0.5000 0.5000
0.5000 0.6862 0.8138
0.5000 0.3138 0.1862
0.5000 0.8138 0.3138
0.5000 0.1862 0.6862
```

Calculated values
DOS at the Fermi energy = 3.74 states/eV/cell
SG = P4/mbm, No. 127
crystal system = tetragonal

# 2
VASP calculation (GGA-PBEsol) on crystalline LiMg3Pd at its relaxed geometry.

Structure (POSCAR):
```
LiMg3Pd
1.0
4.9746 0.0000 0.0000
0.0000 4.9746 0.0000
0.0000 0.0000 4.9746
Li Mg Pd
1 3 1
direct
0.5000 0.5000 0.5000
0.0000 0.5000 0.0000
0.5000 0.0000 0.0000
0.0000 0.0000 0.5000
0.0000 0.0000 0.0000
```

Calculated values
DOS at the Fermi energy = 2.23 states/eV/cell
SG = Pm-3m, No. 221
crystal system = cubic

| no. | formation energy from the elements (eV/atom) |
| --- | --- |
| 1 | -0.147 |
| 2 | -0.121 |